Entry 1:
First-principles (GGA-PBEsol) data for a relaxed Mo2OsRu crystal, as listed in Alexandria via LeMat-Bulk.

a b c (Å): 3.8890 3.8890 7.6444
angles (deg): 90.00 90.00 90.00
Space group I4/mmm (No. 139)
Asymmetric unit:
Mo 0.0000 0.5000 0.2500 (multiplicity 4)
Os 0.0000 0.0000 0.0000 (multiplicity 2)
Ru 0.0000 0.0000 0.5000 (multiplicity 2)

Properties
For the density of states at the Fermi level, the calculation gives 8.15 states/eV per cell. The formation enthalpy at 0 K is 0.061 eV/atom. The value obtained for the polymorph energy (0 for the lowest one) is 0 meV per atom.

=====

Entry 2:
First-principles (GGA-PBEsol) data for a relaxed Mo2OsRu crystal, as listed in Alexandria via LeMat-Bulk.

a b c (Å): 3.8845 3.8845 3.8315
angles (deg): 90.00 90.00 90.00
Space group P4/mmm (No. 123)
Asymmetric unit:
Mo 0.0000 0.5000 0.0000 (multiplicity 2)
Os 0.0000 0.0000 0.5000 (multiplicity 1)
Ru 0.5000 0.5000 0.5000 (multiplicity 1)

Properties
For the density of states at the Fermi level, the calculation gives 4.15 states/eV per cell. The formation enthalpy at 0 K is 0.064 eV/atom. The value obtained for the polymorph energy (0 for the lowest one) is 3 meV per atom.

=====

Entry 3:
First-principles (GGA-PBEsol) data for a relaxed MoOsS2 crystal, as listed in Alexandria via LeMat-Bulk.

a b c (Å): 3.0000 3.0000 23.6049
angles (deg): 90.00 90.00 120.00
Space group R-3m (No. 166, hexagonal axes)
Asymmetric unit:
Mo 0.0000 0.0000 0.0000 (multiplicity 3)
Os 0.0000 0.0000 0.5000 (multiplicity 3)
S 0.0000 0.0000 0.0965 (multiplicity 6)

Properties
For the density of states at the Fermi level, the calculation gives 12.87 states/eV per cell. The raw formation energy comes out at 0.2907 eV per atom.

=====

Entry 4:
First-principles (GGA-PBEsol) data for a relaxed MoOs3S crystal, as listed in Alexandria via LeMat-Bulk.

a b c (Å): 4.6325 4.6325 4.6325
angles (deg): 90.00 90.00 90.00
Space group Pm-3m (No. 221)
Asymmetric unit:
Mo 0.0000 0.0000 0.0000 (multiplicity 1)
Os 0.0000 0.0000 0.5000 (multiplicity 3)
S 0.5000 0.5000 0.5000 (multiplicity 1)

Properties
For the density of states at the Fermi level, the calculation gives 10.39 states/eV per cell. The raw formation energy comes out at 2.7360 eV per atom.

=====

Entry 5:
First-principles (GGA-PBEsol) data for a relaxed TcMoOs2S crystal, as listed in Alexandria via LeMat-Bulk.

a b c (Å): 4.6507 4.6507 4.5635
angles (deg): 90.00 90.00 90.00
Space group P4/mmm (No. 123)
Asymmetric unit:
Tc 0.0000 0.0000 0.0000 (multiplicity 1)
Mo 0.0000 0.0000 0.5000 (multiplicity 1)
Os 0.0000 0.5000 0.5000 (multiplicity 2)
S 0.5000 0.5000 0.0000 (multiplicity 1)

Properties
For the density of states at the Fermi level, the calculation gives 8.43 states/eV per cell. The raw formation energy comes out at 2.5026 eV per atom.

=====

Entry 6:
First-principles (GGA-PBEsol) data for a relaxed SbMo3Os crystal, as listed in Alexandria via LeMat-Bulk.

a b c (Å): 4.7032 4.7032 4.7032
angles (deg): 90.00 90.00 90.00
Space group Pm-3m (No. 221)
Asymmetric unit:
Sb 0.0000 0.0000 0.0000 (multiplicity 1)
Mo 0.0000 0.0000 0.5000 (multiplicity 3)
Os 0.5000 0.5000 0.5000 (multiplicity 1)

Properties
For the density of states at the Fermi level, the calculation gives 6.32 states/eV per cell. The raw formation energy comes out at 2.6558 eV per atom.